First-principles (PBE) data for a geometry-optimized Pa3Ge2Se3 structure, as listed in Alexandria.

Calculated values
- energy relative to the elements, uncorrected (kcal/mol of atoms) = -24.3
- total magnetic moment (μB per cell) = 6.071
- symmetry = No. 193

a b c (Å): 8.7093 8.7093 5.6256
angles (deg): 90.00 90.00 120.00
Last column: nearest neighbours and their distance in Å.
Fractional coordinates of all 16 atoms:
Pa 0.0000 0.3789 0.2500  5 Se 2.93-3.09, 4 Ge 3.07
Pa 0.0000 0.6211 0.7500  5 Se 2.93-3.09, 4 Ge 3.07
Pa 0.3789 0.0000 0.2500  5 Se 2.93-3.09, 4 Ge 3.07
Pa 0.3789 0.3789 0.7500  5 Se 2.93-3.09, 4 Ge 3.07
Pa 0.6211 0.0000 0.7500  5 Se 2.93-3.09, 4 Ge 3.07
Pa 0.6211 0.6211 0.2500  5 Se 2.93-3.09, 4 Ge 3.07
Ge 0.3333 0.6667 0.0000  2 Ge 2.81, 6 Pa 3.07
Ge 0.3333 0.6667 0.5000  2 Ge 2.81, 6 Pa 3.07
Ge 0.6667 0.3333 0.0000  2 Ge 2.81, 6 Pa 3.07
Ge 0.6667 0.3333 0.5000  2 Ge 2.81, 6 Pa 3.07
Se 0.0000 0.2657 0.7500  5 Pa 2.93-3.09
Se 0.0000 0.7343 0.2500  5 Pa 2.93-3.09
Se 0.2657 0.0000 0.7500  5 Pa 2.93-3.09
Se 0.2657 0.2657 0.2500  5 Pa 2.93-3.09
Se 0.7343 0.0000 0.2500  5 Pa 2.93-3.09
Se 0.7343 0.7343 0.7500  5 Pa 2.93-3.09

First-principles (PBE) data for a geometry-optimized Pa2Ge2Se7 structure, as listed in Alexandria.

Calculated values
- energy relative to the elements, uncorrected (kcal/mol of atoms) = -18.8
- total magnetic moment (μB per cell) = 0.000
- excess energy over the best structure of this formula in the dataset (eV per atom) = 0.000
- symmetry = No. 227

a b c (Å): 9.3611 9.3611 9.3611
angles (deg): 60.00 60.00 60.00
Last column: nearest neighbours and their distance in Å.
Fractional coordinates of all 22 atoms:
Pa 0.0000 0.0000 0.0000  8 Se 2.87-2.96
Pa 0.0000 0.0000 0.5000  8 Se 2.87-2.96
Pa 0.0000 0.5000 0.0000  8 Se 2.87-2.96
Pa 0.5000 0.0000 0.0000  8 Se 2.87-2.96
Ge 0.0000 0.5000 0.5000  6 Se 2.78
Ge 0.5000 0.0000 0.5000  6 Se 2.78
Ge 0.5000 0.5000 0.0000  6 Se 2.78
Ge 0.5000 0.5000 0.5000  6 Se 2.78
Se 0.1250 0.1250 0.1250  4 Pa 2.87
Se 0.1365 0.1365 0.6135  2 Ge 2.78, 2 Pa 2.96
Se 0.1365 0.6135 0.1365  2 Ge 2.78, 2 Pa 2.96
Se 0.1365 0.6135 0.6135  2 Ge 2.78, 2 Pa 2.96
Se 0.3865 0.3865 0.8635  2 Ge 2.78, 2 Pa 2.96
Se 0.3865 0.8635 0.3865  2 Ge 2.78, 2 Pa 2.96
Se 0.3865 0.8635 0.8635  2 Ge 2.78, 2 Pa 2.96
Se 0.6135 0.1365 0.1365  2 Ge 2.78, 2 Pa 2.96
Se 0.6135 0.1365 0.6135  2 Ge 2.78, 2 Pa 2.96
Se 0.6135 0.6135 0.1365  2 Ge 2.78, 2 Pa 2.96
Se 0.8635 0.3865 0.3865  2 Ge 2.78, 2 Pa 2.96
Se 0.8635 0.3865 0.8635  2 Ge 2.78, 2 Pa 2.96
Se 0.8635 0.8635 0.3865  2 Ge 2.78, 2 Pa 2.96
Se 0.8750 0.8750 0.8750  4 Pa 2.87

First-principles (PBE) data for a geometry-optimized Pa3GeSe2 structure, as listed in Alexandria.

Calculated values
- energy relative to the elements, uncorrected (kcal/mol of atoms) = -22.9
- total magnetic moment (μB per cell) = 0.000
- symmetry = No. 15

a b c (Å): 6.9548 6.9548 7.3440
angles (deg): 99.16 99.16 120.42
Last column: nearest neighbours and their distance in Å.
Fractional coordinates of all 12 atoms:
Pa 0.0000 0.5000 0.0000  4 Se 2.89-2.90, 2 Ge 2.90
Pa 0.1652 0.3317 0.4989  4 Se 2.89-2.90, 2 Ge 2.90
Pa 0.3317 0.1652 0.9989  4 Se 2.89-2.90, 2 Ge 2.90
Pa 0.5000 0.0000 0.5000  4 Se 2.89-2.90, 2 Ge 2.90
Pa 0.6683 0.8348 0.0011  4 Se 2.89-2.90, 2 Ge 2.90
Pa 0.8348 0.6683 0.5011  4 Se 2.89-2.90, 2 Ge 2.90
Ge 0.4173 0.5827 0.2500  6 Pa 2.90
Ge 0.5827 0.4173 0.7500  6 Pa 2.90
Se 0.0838 0.9162 0.2500  6 Pa 2.89
Se 0.2517 0.7483 0.7500  6 Pa 2.89-2.90
Se 0.7483 0.2517 0.2500  6 Pa 2.89-2.90
Se 0.9162 0.0838 0.7500  6 Pa 2.89

First-principles (PBE) data for a geometry-optimized Pa6Ge5Se structure, as listed in Alexandria.

Calculated values
- energy relative to the elements, uncorrected (kcal/mol of atoms) = -13.7
- total magnetic moment (μB per cell) = 0.000
- symmetry = No. 12

a b c (Å): 7.1463 7.1463 7.1455
angles (deg): 99.60 99.60 120.04
Last column: nearest neighbours and their distance in Å.
Fractional coordinates of all 12 atoms:
Pa 0.0815 0.4160 0.7485  5 Ge 2.91-2.92, 1 Se 2.93
Pa 0.2486 0.2486 0.2502  5 Ge 2.91-2.92, 1 Se 2.93
Pa 0.4160 0.0815 0.7485  5 Ge 2.91-2.92, 1 Se 2.93
Pa 0.5840 0.9185 0.2515  5 Ge 2.91-2.92, 1 Se 2.93
Pa 0.7514 0.7514 0.7498  5 Ge 2.91-2.92, 1 Se 2.93
Pa 0.9185 0.5840 0.2515  5 Ge 2.91-2.92, 1 Se 2.93
Ge 0.0000 0.0000 0.5000  6 Pa 2.91
Ge 0.1670 0.8330 0.0000  6 Pa 2.92
Ge 0.3341 0.6659 0.5000  6 Pa 2.91-2.92
Ge 0.6659 0.3341 0.5000  6 Pa 2.91-2.92
Ge 0.8330 0.1670 0.0000  6 Pa 2.92
Se 0.5000 0.5000 0.0000  6 Pa 2.93